(1)
VASP calculation (PBE) on a geometry-optimized P2IrRu structure.

## Properties
raw total energy: -6.98 eV/atom
theoretical density: 10.35 Mg/m³
distance to the lowest polymorph of the same formula: 278 kJ/mol of formula units
total moment: 0.0 μB per cell

a b c (Å): 2.884 5.077 3.891
angles (deg): 90.00 90.00 90.00
Element x y z (fractional)
Ir  0.000  0.500  0.500
P  0.000  0.000  0.000
P  0.500  0.500  0.000
Ru  0.500  0.000  0.500



(2)
VASP calculation (PBE) on a geometry-optimized Tm2Re3Si5 structure.

## Properties
raw total energy: -7.92 eV/atom
theoretical density: 10.47 Mg/m³
ΔE_f (raw): -584 meV/atom
distance to the lowest polymorph of the same formula: 0 kJ/mol of formula units
total moment: 0.0 μB per cell

a b c (Å): 10.971 10.971 5.463
angles (deg): 90.00 90.00 90.00
Element x y z (fractional)
Tm  0.578  0.737  0.500
Tm  0.422  0.263  0.500
Tm  0.078  0.763  0.000
Tm  0.922  0.237  0.000
Tm  0.263  0.578  0.500
Tm  0.737  0.422  0.500
Tm  0.237  0.078  0.000
Tm  0.763  0.922  0.000
Re  0.877  0.853  0.500
Re  0.123  0.147  0.500
Re  0.377  0.647  0.000
Re  0.623  0.353  0.000
Re  0.147  0.877  0.500
Re  0.853  0.123  0.500
Re  0.353  0.377  0.000
Re  0.647  0.623  0.000
Re  0.500  0.000  0.250
Re  0.000  0.500  0.750
Re  0.000  0.500  0.250
Re  0.500  0.000  0.750
Si  0.673  0.173  0.250
Si  0.327  0.827  0.250
Si  0.173  0.327  0.750
Si  0.827  0.673  0.750
Si  0.827  0.673  0.250
Si  0.173  0.327  0.250
Si  0.673  0.173  0.750
Si  0.327  0.827  0.750
Si  0.500  0.500  0.263
Si  0.000  0.000  0.763
Si  0.500  0.500  0.737
Si  0.000  0.000  0.237
Si  0.687  0.970  0.500
Si  0.313  0.030  0.500
Si  0.187  0.530  0.000
Si  0.813  0.470  0.000
Si  0.030  0.687  0.500
Si  0.970  0.313  0.500
Si  0.470  0.187  0.000
Si  0.530  0.813  0.000



(3)
VASP calculation (PBE) on a geometry-optimized Sc2P2Pt structure.

## Properties
raw total energy: -7.05 eV/atom
theoretical density: 7.20 Mg/m³
total moment: 0.0 μB per cell

a b c (Å): 6.431 6.431 3.866
angles (deg): 90.00 90.00 90.00
Element x y z (fractional)
Sc  0.176  0.676  0.500
Sc  0.676  0.824  0.500
Sc  0.824  0.324  0.500
Sc  0.324  0.176  0.500
P  0.375  0.875  0.000
P  0.875  0.625  0.000
P  0.625  0.125  0.000
P  0.125  0.375  0.000
Pt  0.000  0.000  0.000
Pt  0.500  0.500  0.000